(1)
## NaAc2Co2 (GGA-PBE)

Data for NaAc2Co2 after structural relaxation.

Unit cell a=4.1612 b=4.1124 c=9.0658 alpha=103.13 beta=90.00 gamma=90.00
Closest atoms and distances in Å follow each position.
Sites, in units of the cell vectors:
Na 0.0000 0.0000 0.0000  2 Co 3.96, 8 Ac 3.99, 4 Na 4.11-4.16
Ac 0.5000 0.6529 0.3068  6 Co 3.00-3.18
Ac 0.5000 0.3471 0.6932  6 Co 3.00-3.18
Co 0.0000 0.2241 0.4484  2 Co 2.25
Co 0.0000 0.7759 0.5516  2 Co 2.25

Calculated total energy, eV per atom: -4.731
E_form, eV per atom: 0.019
Symmetry: Cmmm, No. 65
V, Å³ per cell: 151



(2)
## YCd2In (GGA-PBE)

Data for YCd2In after structural relaxation.

Unit cell a=5.6567 b=5.6567 c=5.6567 alpha=131.84 beta=131.79 gamma=70.52
Closest atoms and distances in Å follow each position.
Sites, in units of the cell vectors:
Y 0.2500 0.7500 0.5000  8 Cd 3.27, 4 In 3.27
Cd 0.9998 0.9998 0.0000  4 In 3.26-3.27, 4 Y 3.27, 4 Cd 3.27
Cd 0.5002 0.5002 0.0000  4 In 3.26-3.27, 4 Y 3.27, 4 Cd 3.27
In 0.7500 0.2500 0.5000  8 Cd 3.26-3.27, 4 Y 3.27

Calculated total energy, eV per atom: -3.024
E_form, eV per atom: -0.266
Symmetry: I4/mmm, No. 139
V, Å³ per cell: 99



(3)
## Pm4InIr2 (GGA-PBE)

Data for Pm4InIr2 after structural relaxation.

Unit cell a=7.0683 b=7.1041 c=8.8576 alpha=107.81 beta=107.62 gamma=103.89
Closest atoms and distances in Å follow each position.
Sites, in units of the cell vectors:
Pm 0.9765 0.2032 0.3245  3 Ir 2.92-3.03, 1 In 3.24
Pm 0.3800 0.4734 0.1844  3 Ir 2.81-3.13
Pm 0.8349 0.6070 0.6039  3 Ir 2.79-3.07
Pm 0.7447 0.1783 0.7750  3 Ir 2.83-3.16
Pm 0.4447 0.0384 0.3142  3 Ir 2.81-3.13
Pm 0.2193 0.1516 0.7248  3 Ir 2.84-3.16
Pm 0.4822 0.7526 0.8961  3 Ir 2.79-3.07
Pm 0.9031 0.6293 0.1768  3 Ir 2.92-3.02, 1 In 3.24
In 0.3144 0.7194 0.5151  1 Ir 2.87, 2 Pm 3.13-3.15
In 0.0466 0.9542 0.9851  1 Ir 2.87, 2 Pm 3.13-3.15
Ir 0.4359 0.3838 0.5783  5 Pm 2.79-3.07, 1 In 2.87
Ir 0.7724 0.8942 0.4363  6 Pm 2.81-3.13
Ir 0.5873 0.2081 0.0638  6 Pm 2.81-3.13
Ir 0.1080 0.5566 0.9216  5 Pm 2.79-3.07, 1 In 2.87

Calculated total energy, eV per atom: -6.188
E_form, eV per atom: -0.550
Symmetry: P1, No. 1
V, Å³ per cell: 375



(4)
## Ac8OsPd4 (GGA-PBE)

Data for Ac8OsPd4 after structural relaxation.

Unit cell a=8.6963 b=8.6963 c=8.6963 alpha=60.54 beta=60.54 gamma=60.54
Closest atoms and distances in Å follow each position.
Sites, in units of the cell vectors:
Ac 0.2572 0.7393 0.2572  1 Os 3.00, 3 Pd 3.07-3.18
Ac 0.7428 0.7428 0.2607  1 Os 3.00, 3 Pd 3.07-3.18
Ac 0.7428 0.2607 0.7428  1 Os 3.00, 3 Pd 3.07-3.18
Ac 0.2607 0.7428 0.7428  1 Os 3.00, 3 Pd 3.07-3.18
Ac 0.7445 0.7445 0.7445  3 Pd 3.02
Ac 0.2555 0.2555 0.2555  3 Pd 3.02
Ac 0.7393 0.2572 0.2572  1 Os 3.00, 3 Pd 3.07-3.18
Ac 0.2572 0.2572 0.7393  1 Os 3.00, 3 Pd 3.07-3.18
Os 0.5000 0.5000 0.5000  6 Ac 3.00
Pd 0.5000 0.0000 0.5000  6 Ac 3.02-3.07
Pd 0.0000 0.5000 0.5000  6 Ac 3.02-3.07
Pd 0.5000 0.5000 0.0000  6 Ac 3.02-3.07
Pd 0.0000 0.0000 0.0000  6 Ac 3.18

Calculated total energy, eV per atom: -5.462
E_form, eV per atom: -0.472
Symmetry: R-3m, No. 166
V, Å³ per cell: 471



(5)
## Nd3Sm4Dy5 (GGA-PBE)

Data for Nd3Sm4Dy5 after structural relaxation.

Unit cell a=5.9826 b=8.6099 c=9.7669 alpha=105.88 beta=72.17 gamma=69.67
Closest atoms and distances in Å follow each position.
Sites, in units of the cell vectors:
Nd 0.5220 0.6870 0.2690  3 Dy 3.11-3.29, 2 Sm 3.30-3.41
Nd 0.0000 0.5000 0.5000  2 Dy 2.99
Nd 0.4780 0.3130 0.7310  3 Dy 3.11-3.29, 2 Sm 3.30-3.41
Sm 0.8604 0.2226 0.0565  2 Sm 3.29-3.68, 1 Nd 3.41, 3 Dy 3.46-3.55
Sm 0.1694 0.0405 0.6206  3 Nd 3.30-3.59, 3 Sm 3.63-3.68, 2 Dy 3.67
Sm 0.8306 0.9595 0.3794  3 Nd 3.30-3.59, 3 Sm 3.63-3.68, 2 Dy 3.67
Sm 0.1396 0.7774 0.9435  2 Sm 3.29-3.68, 1 Nd 3.41, 3 Dy 3.46-3.55
Dy 0.6247 0.9477 0.8029  2 Nd 3.29-3.51, 2 Dy 3.39-3.67, 2 Sm 3.67
Dy 0.5000 0.5000 0.5000  4 Nd 2.99-3.11
Dy 0.2161 0.4561 0.1117  4 Nd 3.22-3.50, 3 Sm 3.46-3.55
Dy 0.7839 0.5439 0.8883  4 Nd 3.22-3.50, 3 Sm 3.46-3.55
Dy 0.3753 0.0523 0.1971  2 Nd 3.29-3.51, 2 Dy 3.39-3.67, 2 Sm 3.67

Calculated total energy, eV per atom: -4.462
E_form, eV per atom: 0.220
Symmetry: C2/m, No. 12
V, Å³ per cell: 406



(6)
## ZnReIr3 (GGA-PBE)

Data for ZnReIr3 after structural relaxation.

Unit cell a=4.7431 b=4.7431 c=4.7431 alpha=90.00 beta=90.00 gamma=90.00
Closest atoms and distances in Å follow each position.
Sites, in units of the cell vectors:
Re 0.0000 0.0000 0.0000  6 Ir 2.37
Zn 0.5000 0.5000 0.5000  12 Ir 3.35
Ir 0.0000 0.5000 0.0000  2 Re 2.37
Ir 0.0000 0.0000 0.5000  2 Re 2.37
Ir 0.5000 0.0000 0.0000  2 Re 2.37

Calculated total energy, eV per atom: -6.416
E_form, eV per atom: 1.646
Symmetry: Pm-3m, No. 221
V, Å³ per cell: 107



(7)
## Rb2DyBr4 (GGA-PBE)

Data for Rb2DyBr4 after structural relaxation.

Unit cell a=5.6287 b=5.6287 c=9.6407 alpha=106.97 beta=106.97 gamma=90.00
Closest atoms and distances in Å follow each position.
Sites, in units of the cell vectors:
Br 0.8368 0.8368 0.6735  1 Dy 2.87
Br 0.1632 0.1632 0.3265  1 Dy 2.87
Br 0.0000 0.5000 0.0000  2 Dy 2.81
Br 0.5000 0.0000 0.0000  2 Dy 2.81
Rb 0.6404 0.6404 0.2808  5 Br 3.45-3.74
Rb 0.3596 0.3596 0.7192  5 Br 3.45-3.74
Dy 0.0000 0.0000 0.0000  6 Br 2.81-2.87

Calculated total energy, eV per atom: -3.493
Symmetry: I4/mmm, No. 139
V, Å³ per cell: 278
Raw formation energy, kJ/mol of formula units: -1083



(8)
## SeBr3 (GGA-PBE)

Data for SeBr3 after structural relaxation.

Unit cell a=6.4831 b=6.4831 c=6.4831 alpha=148.43 beta=110.55 gamma=78.29
Closest atoms and distances in Å follow each position.
Sites, in units of the cell vectors:
Br 0.0625 0.0625 0.0000  2 Se 2.58
Br 0.7500 0.2500 0.5000  6 Br 3.53-3.60
Br 0.4375 0.4375 0.0000  2 Se 2.58
Se 0.2500 0.7500 0.5000  4 Br 2.58

Calculated total energy, eV per atom: -1.979
Symmetry: Immm, No. 71
V, Å³ per cell: 131
Raw formation energy, kJ/mol of formula units: 57



(9)
## Zn4CrAs (GGA-PBE)

Data for Zn4CrAs after structural relaxation.

Unit cell a=5.1305 b=5.1305 c=5.1305 alpha=60.00 beta=60.00 gamma=60.00
Closest atoms and distances in Å follow each position.
Sites, in units of the cell vectors:
Zn 0.8775 0.3742 0.3742  6 Zn 2.55-2.58
Zn 0.3742 0.3742 0.8775  6 Zn 2.55-2.58
Zn 0.3742 0.8775 0.3742  6 Zn 2.55-2.58
Zn 0.3742 0.3742 0.3742  6 Zn 2.55-2.58
Cr 0.0000 0.0000 0.0000  12 Zn 3.01, 4 As 3.14
As 0.7500 0.7500 0.7500  12 Zn 3.01, 4 Cr 3.14

Calculated total energy, eV per atom: -2.999
E_form, eV per atom: 0.229
Symmetry: F-43m, No. 216
V, Å³ per cell: 95



(10)
## FeHg2Pb (GGA-PBE)

Data for FeHg2Pb after structural relaxation.

Unit cell a=6.6089 b=6.6089 c=4.7612 alpha=68.51 beta=68.51 gamma=28.02
Closest atoms and distances in Å follow each position.
Sites, in units of the cell vectors:
Fe 0.2500 0.2500 0.2500  4 Hg 2.84, 4 Pb 2.87
Hg 0.9478 0.9478 0.0523  2 Fe 2.84, 4 Hg 3.12-3.13
Hg 0.5522 0.5522 0.4477  2 Fe 2.84, 4 Hg 3.12-3.13
Pb 0.7500 0.7500 0.7500  4 Fe 2.87, 2 Pb 3.20

Calculated total energy, eV per atom: -2.809
E_form, eV per atom: 0.385
Symmetry: C2/m, No. 12
V, Å³ per cell: 90



(11)
## Sr3LiCe3S8 (GGA-PBE)

Data for Sr3LiCe3S8 after structural relaxation.

Unit cell a=8.1964 b=8.1954 c=8.3315 alpha=119.45 beta=90.00 gamma=120.00
Closest atoms and distances in Å follow each position.
Sites, in units of the cell vectors:
Sr 0.0000 0.0000 0.0000  6 S 2.96-3.02
Sr 0.0000 0.5000 0.0000  6 S 2.96-3.03
Sr 0.5000 0.5000 0.0000  6 S 2.96-3.03
Li 0.0000 0.0000 0.5000  6 S 2.80-2.81
Ce 0.5000 0.0000 0.5000  6 S 2.83-2.88
Ce 0.5000 0.5000 0.5000  6 S 2.83-2.88
Ce 0.0000 0.5000 0.5000  6 S 2.83-2.88
S 0.2535 0.5070 0.2605  3 Ce 2.88, 3 Sr 2.96
S 0.7465 0.4930 0.7395  3 Ce 2.88, 3 Sr 2.96
S 0.7600 0.5200 0.2764  1 Li 2.80, 2 Ce 2.83, 2 Sr 3.02-3.03
S 0.2400 0.4800 0.7236  1 Li 2.80, 2 Ce 2.83, 2 Sr 3.02-3.03
S 0.7598 0.0164 0.2762  1 Li 2.81, 2 Ce 2.83, 2 Sr 3.02-3.03
S 0.2402 0.9836 0.7238  1 Li 2.81, 2 Ce 2.83, 2 Sr 3.02-3.03
S 0.2566 0.0164 0.2761  1 Li 2.81, 2 Ce 2.83, 2 Sr 3.02-3.03
S 0.7434 0.9836 0.7239  1 Li 2.81, 2 Ce 2.83, 2 Sr 3.02-3.03

Calculated total energy, eV per atom: -5.749
Symmetry: R-3m, No. 166
V, Å³ per cell: 399
Raw formation energy, kJ/mol of formula units: -2745



(12)
## PmUOs2 (GGA-PBE)

Data for PmUOs2 after structural relaxation.

Unit cell a=4.3793 b=5.7958 c=6.9732 alpha=90.00 beta=90.00 gamma=90.00
Closest atoms and distances in Å follow each position.
Sites, in units of the cell vectors:
Pm 0.5000 0.8404 0.0000  8 Os 3.18-3.24
Pm 0.0000 0.1596 0.5000  8 Os 3.18-3.24
U 0.5000 0.6718 0.5000  6 Os 2.62-2.82
U 0.0000 0.3282 0.0000  6 Os 2.62-2.82
Os 0.0000 0.6609 0.7050  3 U 2.62-2.82, 1 Os 2.86
Os 0.5000 0.3391 0.7950  3 U 2.62-2.82, 1 Os 2.86
Os 0.0000 0.6609 0.2950  3 U 2.62-2.82, 1 Os 2.86
Os 0.5000 0.3391 0.2050  3 U 2.62-2.82, 1 Os 2.86

Calculated total energy, eV per atom: -9.687
E_form, eV per atom: -0.062
Symmetry: Pmmn, No. 59
V, Å³ per cell: 177



> Among the records above, which one has the highest V?

Ac8OsPd4